No. 1
The following is a PBE calculation of crystalline Pr8P3I4Cl at its relaxed geometry, from the Alexandria database.

Lattice parameters (Å, degrees): 9.164 9.164 9.164 55.07 55.07 55.07
Element x y z (fractional)
Pr 0.226 0.731 0.731
Pr 0.230 0.230 0.230
Pr 0.269 0.269 0.774
Pr 0.269 0.774 0.269
Pr 0.731 0.226 0.731
Pr 0.731 0.731 0.226
Pr 0.770 0.770 0.770
Pr 0.774 0.269 0.269
P 0.000 0.000 0.500
P 0.000 0.500 0.000
P 0.500 0.000 0.000
I 0.000 0.000 0.000
I 0.000 0.500 0.500
I 0.500 0.000 0.500
I 0.500 0.500 0.000
Cl 0.500 0.500 0.500

Computed properties:
* formation energy without anion corrections: -1301 meV per atom
* crystal system: trigonal



No. 2
The following is a PBE calculation of crystalline LiNd4Ag3 at its relaxed geometry, from the Alexandria database.

Lattice parameters (Å, degrees): 9.231 9.231 9.231 33.53 33.53 33.53
Element x y z (fractional)
Li 0.000 0.000 0.000
Nd 0.127 0.127 0.127
Nd 0.378 0.378 0.378
Nd 0.622 0.622 0.622
Nd 0.873 0.873 0.873
Ag 0.256 0.256 0.256
Ag 0.500 0.500 0.500
Ag 0.744 0.744 0.744

Computed properties:
* calculated formation energy: -0.1647 eV/atom
* crystal system: trigonal



No. 3
The following is a PBE calculation of crystalline Ac3BiH at its relaxed geometry, from the Alexandria database.

Lattice parameters (Å, degrees): 9.034 9.034 4.325 90.00 90.00 108.35
Element x y z (fractional)
Ac 0.179 0.431 0.500
Ac 0.186 0.814 0.000
Ac 0.431 0.179 0.500
Ac 0.569 0.821 0.500
Ac 0.814 0.186 0.000
Ac 0.821 0.569 0.500
Bi 0.000 0.000 0.500
Bi 0.500 0.500 0.000
H 0.000 0.500 0.000
H 0.500 0.000 0.000

Computed properties:
* energy relative to the lowest polymorph listed for this composition: 57 meV/atom
* crystal system: orthorhombic



No. 4
The following is a PBE calculation of crystalline Pr4TmMg2 at its relaxed geometry, from the Alexandria database.

Lattice parameters (Å, degrees): 6.794 6.794 6.794 112.04 112.04 104.45
Element x y z (fractional)
Pr 0.000 0.000 0.500
Pr 0.000 0.500 0.000
Pr 0.500 0.000 0.000
Pr 0.500 0.500 0.500
Tm 0.000 0.000 0.000
Mg 0.000 0.500 0.500
Mg 0.500 0.000 0.500

Computed properties:
* energy relative to the lowest polymorph listed for this composition: 0 meV/atom
* calculated formation energy: 0.1449 eV/atom
* crystal system: tetragonal



No. 5
The following is a PBE calculation of crystalline YHoNiHg at its relaxed geometry, from the Alexandria database.

Lattice parameters (Å, degrees): 5.043 5.043 5.043 60.00 60.00 60.00
Element x y z (fractional)
Y 0.000 0.000 0.000
Ho 0.500 0.500 0.500
Ni 0.750 0.750 0.750
Hg 0.250 0.250 0.250

Computed properties:
* calculated formation energy: -0.3662 eV/atom
* crystal system: cubic



No. 6
The following is a PBE calculation of crystalline TeIrBr2 at its relaxed geometry, from the Alexandria database.

Lattice parameters (Å, degrees): 5.256 5.256 3.234 90.00 90.00 90.00
Element x y z (fractional)
Te 0.000 0.000 0.000
Ir 0.500 0.500 0.000
Br 0.000 0.500 0.500
Br 0.500 0.000 0.500

Computed properties:
* formation energy without anion corrections: 1167 meV per atom
* crystal system: tetragonal



No. 7
The following is a PBE calculation of crystalline NiSn2H at its relaxed geometry, from the Alexandria database.

Lattice parameters (Å, degrees): 4.473 4.473 4.473 60.00 60.00 60.00
Element x y z (fractional)
Ni 0.000 0.000 0.000
Sn 0.250 0.250 0.250
Sn 0.750 0.750 0.750
H 0.500 0.500 0.500

Computed properties:
* energy relative to the lowest polymorph listed for this composition: 0 meV/atom
* crystal system: cubic



No. 8
The following is a PBE calculation of crystalline Ca3TbH8 at its relaxed geometry, from the Alexandria database.

Lattice parameters (Å, degrees): 5.340 5.340 5.340 90.00 90.00 90.00
Element x y z (fractional)
Ca 0.000 0.000 0.500
Ca 0.000 0.500 0.000
Ca 0.500 0.000 0.000
Tb 0.500 0.500 0.500
H 0.255 0.255 0.255
H 0.255 0.255 0.745
H 0.255 0.745 0.255
H 0.255 0.745 0.745
H 0.745 0.255 0.255
H 0.745 0.255 0.745
H 0.745 0.745 0.255
H 0.745 0.745 0.745

Computed properties:
* VASP energy: -0.272 Ry per atom
* crystal system: cubic



No. 9
The following is a PBE calculation of crystalline NdHo3Ag4 at its relaxed geometry, from the Alexandria database.

Lattice parameters (Å, degrees): 5.168 5.168 7.321 90.00 90.00 90.00
Element x y z (fractional)
Nd 0.000 0.000 0.000
Ho 0.000 0.000 0.500
Ho 0.500 0.500 0.000
Ho 0.500 0.500 0.500
Ag 0.000 0.500 0.261
Ag 0.000 0.500 0.739
Ag 0.500 0.000 0.261
Ag 0.500 0.000 0.739

Computed properties:
* calculated formation energy: -0.3039 eV/atom
* crystal system: tetragonal



No. 10
The following is a PBE calculation of crystalline Mg8Hg3Pb2 at its relaxed geometry, from the Alexandria database.

Lattice parameters (Å, degrees): 11.059 11.059 11.059 31.53 31.53 31.53
Element x y z (fractional)
Mg 0.214 0.214 0.716
Mg 0.214 0.716 0.214
Mg 0.221 0.221 0.221
Mg 0.284 0.786 0.786
Mg 0.716 0.214 0.214
Mg 0.779 0.779 0.779
Mg 0.786 0.284 0.786
Mg 0.786 0.786 0.284
Hg 0.308 0.308 0.308
Hg 0.500 0.500 0.500
Hg 0.692 0.692 0.692
Pb 0.129 0.129 0.129
Pb 0.871 0.871 0.871

Computed properties:
* energy relative to the lowest polymorph listed for this composition: 85 meV/atom
* calculated formation energy: -0.0143 eV/atom
* crystal system: trigonal



No. 11
The following is a PBE calculation of crystalline TmMgIn3 at its relaxed geometry, from the Alexandria database.

Lattice parameters (Å, degrees): 10.157 3.312 8.212 90.00 90.00 90.00
Element x y z (fractional)
Tm 0.250 0.000 0.098
Tm 0.750 0.000 0.902
Mg 0.250 0.500 0.727
Mg 0.750 0.500 0.273
In 0.000 0.500 0.000
In 0.096 0.500 0.374
In 0.404 0.500 0.374
In 0.500 0.500 0.000
In 0.596 0.500 0.626
In 0.904 0.500 0.626

Computed properties:
* energy relative to the lowest polymorph listed for this composition: 87 meV/atom
* calculated formation energy: -0.1027 eV/atom
* crystal system: orthorhombic



No. 12
The following is a PBE calculation of crystalline Ac2PtPb at its relaxed geometry, from the Alexandria database.

Lattice parameters (Å, degrees): 3.844 3.844 8.495 90.00 90.00 90.00
Element x y z (fractional)
Ac 0.000 0.000 0.212
Ac 0.000 0.000 0.788
Pt 0.500 0.500 0.000
Pb 0.500 0.500 0.500

Computed properties:
* calculated formation energy: -0.7619 eV/atom
* crystal system: tetragonal



The following Fermi-level density of states values (in states/eV per atom) correspond, in order, to the records above: 0.495, 1.183, 0.958, 1.226, 0.703, 1.113, 0.588, 0.062, 0.652, 0.404, 0.638, 0.925.